# KMnCo4 (PBE-GGA, relaxed)
# Total magnetization: 10.8 μB per formula unit
# Crystal system: cubic
# SG: F-43m (216)
# Total energy: -5.75 eV per atom
# V: 14.8 Å³ per atom
# D(E_F): 4.73 states/eV per cell
# Energy of formation from the pure elements: 697 meV per atom
data_KMnCo4
_chemical_formula_sum 'K1 Mn1 Co4'
_cell_length_a 5.0071
_cell_length_b 5.0071
_cell_length_c 5.0071
_cell_angle_alpha 60.00
_cell_angle_beta 60.00
_cell_angle_gamma 60.00
_space_group_name_H-M_alt 'P 1'
_space_group_IT_number 1
loop_
_space_group_symop_operation_xyz
'x,y,z'
loop_
_atom_site_label
_atom_site_type_symbol
_atom_site_fract_x
_atom_site_fract_y
_atom_site_fract_z
K1 K 0.7500 0.7500 0.7500
Mn1 Mn 0.0000 0.0000 0.0000
Co1 Co 0.8793 0.3736 0.3736
Co2 Co 0.3736 0.3736 0.8793
Co3 Co 0.3736 0.8793 0.3736
Co4 Co 0.3736 0.3736 0.3736



# Sr2HgSb (PBE-GGA, relaxed)
# Total magnetization: 0.0 μB per formula unit
# Crystal system: trigonal
# SG: R3m (160)
# Total energy: -2.66 eV per atom
# V: 39.8 Å³ per atom
# D(E_F): 2.30 states/eV per cell
# Formation energy from raw total energies: -0.713 eV/atom
data_Sr2HgSb
_chemical_formula_sum 'Sr2 Hg1 Sb1'
_cell_length_a 4.8793
_cell_length_b 4.8793
_cell_length_c 8.2152
_cell_angle_alpha 72.72
_cell_angle_beta 72.72
_cell_angle_gamma 60.00
_space_group_name_H-M_alt 'P 1'
_space_group_IT_number 1
loop_
_space_group_symop_operation_xyz
'x,y,z'
loop_
_atom_site_label
_atom_site_type_symbol
_atom_site_fract_x
_atom_site_fract_y
_atom_site_fract_z
Sr1 Sr 0.0718 0.0718 0.7845
Sr2 Sr 0.2610 0.2610 0.2170
Hg1 Hg 0.5032 0.5032 0.4904
Sb1 Sb 0.6640 0.6640 0.0080



# HfNb2Si2 (PBE-GGA, relaxed)
# Total magnetization: 0.0 μB per formula unit
# Crystal system: monoclinic
# SG: C2/m (12)
# Total energy: -8.59 eV per atom
# V: 17.6 Å³ per atom
# D(E_F): 3.17 states/eV per cell
# Formation energy from raw total energies: -0.406 eV/atom
data_HfNb2Si2
_chemical_formula_sum 'Hf1 Nb2 Si2'
_cell_length_a 3.6070
_cell_length_b 5.0600
_cell_length_c 5.2840
_cell_angle_alpha 102.71
_cell_angle_beta 109.96
_cell_angle_gamma 90.00
_space_group_name_H-M_alt 'P 1'
_space_group_IT_number 1
loop_
_space_group_symop_operation_xyz
'x,y,z'
loop_
_atom_site_label
_atom_site_type_symbol
_atom_site_fract_x
_atom_site_fract_y
_atom_site_fract_z
Hf1 Hf 0.0000 0.0000 0.0000
Nb1 Nb 0.3600 0.4274 0.7201
Nb2 Nb 0.6400 0.5726 0.2799
Si1 Si 0.7155 0.1210 0.4311
Si2 Si 0.2845 0.8790 0.5689



# CeErAlIn (PBE-GGA, relaxed)
# Total magnetization: 0.8 μB per formula unit
# Crystal system: tetragonal
# SG: P4mm (99)
# Total energy: -4.62 eV per atom
# V: 24.9 Å³ per atom
# D(E_F): 5.78 states/eV per cell
# Energy of formation from the pure elements: -373 meV per atom
data_CeErAlIn
_chemical_formula_sum 'Ce1 Er1 Al1 In1'
_cell_length_a 3.3563
_cell_length_b 3.3563
_cell_length_c 8.8247
_cell_angle_alpha 90.00
_cell_angle_beta 90.00
_cell_angle_gamma 90.00
_space_group_name_H-M_alt 'P 1'
_space_group_IT_number 1
loop_
_space_group_symop_operation_xyz
'x,y,z'
loop_
_atom_site_label
_atom_site_type_symbol
_atom_site_fract_x
_atom_site_fract_y
_atom_site_fract_z
Ce1 Ce 0.5000 0.5000 0.8057
Er1 Er 0.5000 0.5000 0.3372
Al1 Al 0.0000 0.0000 0.5638
In1 In 0.0000 0.0000 0.0780



# KMg2F (PBE-GGA, relaxed)
# Total magnetization: 0.0 μB per formula unit
# Crystal system: cubic
# SG: Fm-3m (225)
# Total energy: -1.84 eV per atom
# V: 29.5 Å³ per atom
# D(E_F): 0.79 states/eV per cell
# Formation energy from raw total energies: -0.299 eV/atom
data_KMg2F
_chemical_formula_sum 'K1 Mg2 F1'
_cell_length_a 5.5071
_cell_length_b 5.5071
_cell_length_c 5.5071
_cell_angle_alpha 60.00
_cell_angle_beta 60.00
_cell_angle_gamma 60.00
_space_group_name_H-M_alt 'P 1'
_space_group_IT_number 1
loop_
_space_group_symop_operation_xyz
'x,y,z'
loop_
_atom_site_label
_atom_site_type_symbol
_atom_site_fract_x
_atom_site_fract_y
_atom_site_fract_z
K1 K 0.5000 0.5000 0.5000
Mg1 Mg 0.2500 0.2500 0.2500
Mg2 Mg 0.7500 0.7500 0.7500
F1 F 0.0000 0.0000 0.0000



# NpTcH2 (PBE-GGA, relaxed)
# Total magnetization: 2.9 μB per formula unit
# Crystal system: trigonal
# SG: R-3m (166)
# Total energy: -7.49 eV per atom
# V: 10.1 Å³ per atom
# D(E_F): 2.83 states/eV per cell
data_NpTcH2
_chemical_formula_sum 'Np1 Tc1 H2'
_cell_length_a 2.8982
_cell_length_b 2.8982
_cell_length_c 5.8150
_cell_angle_alpha 75.57
_cell_angle_beta 75.57
_cell_angle_gamma 60.00
_space_group_name_H-M_alt 'P 1'
_space_group_IT_number 1
loop_
_space_group_symop_operation_xyz
'x,y,z'
loop_
_atom_site_label
_atom_site_type_symbol
_atom_site_fract_x
_atom_site_fract_y
_atom_site_fract_z
Np1 Np 0.0000 0.0000 0.0000
H1 H 0.7781 0.7781 0.6658
H2 H 0.2219 0.2219 0.3342
Tc1 Tc 0.5000 0.5000 0.5000



# MgH2SO (PBE-GGA, relaxed)
# Total magnetization: 0.0 μB per formula unit
# Crystal system: tetragonal
# SG: P4/mmm (123)
# Total energy: -4.19 eV per atom
# V: 11.2 Å³ per atom
# D(E_F): 0.95 states/eV per cell
data_MgH2SO
_chemical_formula_sum 'Mg1 H2 S1 O1'
_cell_length_a 3.0618
_cell_length_b 5.9770
_cell_length_c 3.0618
_cell_angle_alpha 90.00
_cell_angle_beta 90.00
_cell_angle_gamma 90.00
_space_group_name_H-M_alt 'P 1'
_space_group_IT_number 1
loop_
_space_group_symop_operation_xyz
'x,y,z'
loop_
_atom_site_label
_atom_site_type_symbol
_atom_site_fract_x
_atom_site_fract_y
_atom_site_fract_z
H1 H 0.0000 0.0000 0.5000
H2 H 0.5000 0.0000 0.0000
S1 S 0.0000 0.0000 0.0000
Mg1 Mg 0.0000 0.5000 0.0000
O1 O 0.5000 0.5000 0.5000



# LaNbGaPd2 (PBE-GGA, relaxed)
# Total magnetization: 0.0 μB per formula unit
# Crystal system: tetragonal
# SG: P4/mmm (123)
# Total energy: -4.49 eV per atom
# V: 26.8 Å³ per atom
# D(E_F): 6.21 states/eV per cell
# Energy of formation from the pure elements: 1193 meV per atom
data_LaNbGaPd2
_chemical_formula_sum 'La1 Nb1 Ga1 Pd2'
_cell_length_a 4.9541
_cell_length_b 5.4547
_cell_length_c 4.9541
_cell_angle_alpha 90.00
_cell_angle_beta 90.00
_cell_angle_gamma 90.00
_space_group_name_H-M_alt 'P 1'
_space_group_IT_number 1
loop_
_space_group_symop_operation_xyz
'x,y,z'
loop_
_atom_site_label
_atom_site_type_symbol
_atom_site_fract_x
_atom_site_fract_y
_atom_site_fract_z
Nb1 Nb 0.5000 0.5000 0.5000
Ga1 Ga 0.0000 0.5000 0.0000
Pd1 Pd 0.0000 0.0000 0.5000
Pd2 Pd 0.5000 0.0000 0.0000
La1 La 0.0000 0.0000 0.0000